(1)
YCrMo2 after structural relaxation. Source: Alexandria via LeMat-Bulk, functional PBE.

Results
The calculation puts the energy of formation at 0.32 eV per atom.

Lattice parameters (Å, degrees): 3.219 3.219 7.057 90.00 90.00 90.00
Element x y z (fractional)
Y (0.000, 0.000, 0.000)
Cr (0.500, 0.500, 0.302)
Mo (0.000, 0.000, 0.503)
Mo (0.500, 0.500, 0.710)

***

(2)
ZnCr2Mo after structural relaxation. Source: Alexandria via LeMat-Bulk, functional PBE.

Results
The calculation puts the energy of formation at 0.34 eV per atom.

Lattice parameters (Å, degrees): 4.603 4.603 4.852 94.47 94.47 31.74
Element x y z (fractional)
Zn (0.000, 0.000, 0.000)
Cr (0.256, 0.256, 0.760)
Cr (0.503, 0.503, 0.515)
Mo (0.748, 0.748, 0.261)

***

(3)
ZnCr2Mo after structural relaxation. Source: Alexandria via LeMat-Bulk, functional PBE.

Results
The calculation puts the energy of formation at 0.22 eV per atom.

Lattice parameters (Å, degrees): 2.542 4.239 5.020 90.00 99.24 90.00
Element x y z (fractional)
Zn (0.000, 0.000, 0.000)
Cr (0.276, 0.500, 0.754)
Cr (0.724, 0.500, 0.246)
Mo (0.500, 0.000, 0.500)

***

(4)
ZnCr2Mo after structural relaxation. Source: Alexandria via LeMat-Bulk, functional PBE.

Results
The calculation puts the energy of formation at 0.33 eV per atom.

Lattice parameters (Å, degrees): 2.507 4.052 5.307 90.00 90.00 90.00
Element x y z (fractional)
Zn (0.000, 0.000, 0.000)
Cr (0.500, 0.500, 0.233)
Cr (0.500, 0.500, 0.767)
Mo (0.000, 0.000, 0.500)

***

(5)
ZnCr2Mo after structural relaxation. Source: Alexandria via LeMat-Bulk, functional PBE.

Results
The calculation puts the energy of formation at 0.22 eV per atom.

Lattice parameters (Å, degrees): 4.160 4.160 3.160 90.00 90.00 90.00
Element x y z (fractional)
Zn (0.000, 0.000, 0.000)
Cr (0.000, 0.500, 0.500)
Cr (0.500, 0.000, 0.500)
Mo (0.500, 0.500, 0.000)

***

(6)
ZnCr2Mo after structural relaxation. Source: Alexandria via LeMat-Bulk, functional PBE.

Results
The calculation puts the energy of formation at 0.19 eV per atom.

Lattice parameters (Å, degrees): 2.580 2.580 8.479 90.00 90.00 107.28
Element x y z (fractional)
Zn (0.000, 0.000, 0.000)
Cr (0.500, 0.500, 0.250)
Cr (0.500, 0.500, 0.750)
Mo (0.000, 0.000, 0.500)

***

(7)
ZnCr2Mo after structural relaxation. Source: Alexandria via LeMat-Bulk, functional PBE.

Results
The calculation puts the energy of formation at 0.84 eV per atom.

Lattice parameters (Å, degrees): 5.412 5.412 5.412 103.13 103.13 123.08
Element x y z (fractional)
Zn (0.000, 0.000, 0.000)
Zn (0.750, 0.250, 0.500)
Cr (0.143, 0.625, 0.018)
Cr (0.375, 0.393, 0.518)
Cr (0.607, 0.125, 0.982)
Cr (0.875, 0.857, 0.482)
Mo (0.250, 0.750, 0.500)
Mo (0.500, 0.500, 0.000)

***

(8)
ZnCr2Mo after structural relaxation. Source: Alexandria via LeMat-Bulk, functional PBE.

Results
The calculation puts the energy of formation at 0.28 eV per atom.

Lattice parameters (Å, degrees): 4.266 4.266 4.266 60.00 60.00 60.00
Element x y z (fractional)
Zn (0.000, 0.000, 0.000)
Cr (0.500, 0.500, 0.500)
Cr (0.750, 0.750, 0.750)
Mo (0.250, 0.250, 0.250)